VASP calculation (PBE+U) on VMoRu2O after structural relaxation.

Cell lengths 4.1234, 4.0743, 4.1234 Å; angles 90.00, 90.00, 90.00 degrees
Last column: nearest neighbours and their distance in Å.
Positions (direct):
Ru1 0.0000 0.0000 0.5000  2 O 2.06
Ru2 0.5000 0.0000 0.0000  2 O 2.06
V1 0.0000 0.5000 0.0000  2 O 2.04
Mo1 0.5000 0.5000 0.5000  8 Ru 2.90, 4 V 2.92
O1 0.0000 0.0000 0.0000  2 V 2.04, 4 Ru 2.06

Output
VASP energy   -7.301 eV per atom
D(E_F)   3.387 states/eV/f.u.